[1]
CaDy4Cu5, relaxed, DFT PBE; SG = P4/mmm; total DFT energy (no corrections) = -4.309 eV per atom; formation enthalpy at 0 K = -212 kJ/mol of formula units; M_tot = 0.00 μB per formula unit; DOS(E_F) = 4.9 states/eV per cell
1.0
-3.0774 1.4056 -0.7616
-1.5231 -3.0798 0.4703
-2.4680 3.8199 17.0218
Ca Dy Cu
1 4 5
Cartesian
0.0000 0.0000 0.0000 Ca
-0.4994 0.7729 3.4443 Dy
-0.9903 1.5328 6.8304 Dy
-1.4776 2.2871 10.1915 Dy
-1.9686 3.0470 13.5776 Dy
-2.5774 -0.4082 1.7657 Cu
-3.0440 0.3140 4.9839 Cu
-3.5343 1.0728 8.3653 Cu
-4.0245 1.8316 11.7467 Cu
-4.4911 2.5538 14.9648 Cu


[2]
Nd2YZn2Sn2, relaxed, DFT PBE; SG = R-3m; total DFT energy (no corrections) = -4.169 eV per atom; formation enthalpy at 0 K = -253 kJ/mol of formula units; M_tot = 0.00 μB per formula unit; DOS(E_F) = 4.9 states/eV per cell
1.0
-2.6504 -2.9477 -2.1382
1.8248 -3.4398 -2.2634
-0.6975 -8.2488 7.4926
Nd Y Zn Sn
2 1 2 2
Cartesian
-0.5401 -5.9681 4.1535 Nd
-0.9830 -8.6681 -1.0625 Nd
0.0000 0.0000 0.0000 Y
-0.6480 -5.6734 -0.8626 Zn
-0.8750 -8.9629 3.9536 Zn
-1.1756 -11.4601 3.0253 Sn
-0.3474 -3.1762 0.0657 Sn


| no. | calculated volume (Å³/cell) |
| --- | --- |
| 1 | 211.9 |
| 2 | 190.8 |